This record from Alexandria describes a relaxed LaMnC2F crystal. The functional is PBE with a Hubbard U.

Geometry as CIF:
```
data_LaMnC2F
_chemical_formula_sum 'La1 Mn1 C2 F1'
_space_group_name_H-M_alt 'P 1'
_space_group_IT_number 1
_space_group_name_Hall 'P 1'
_cell_length_a 4.675
_cell_length_b 4.675
_cell_length_c 4.505
_cell_angle_alpha 90.00
_cell_angle_beta 90.00
_cell_angle_gamma 90.00
loop_
_atom_site_label
_atom_site_fract_x
_atom_site_fract_y
_atom_site_fract_z
La1 0.000 0.000 0.000
Mn1 0.500 0.500 0.500
C1 0.000 0.500 0.000
C2 0.500 0.000 0.000
F1 0.000 0.000 0.500
```

Properties
Size of the total moment in μB per atom: 0.058
Energy relative to the lowest polymorph listed for this composition in meV/atom: 1374
Symmetry: No. 123